HgRuAu2 after structural relaxation, computed with PBEsol.

Computed properties:
- Energy of formation: 429 meV per atom
- Calculated volume: 67.2 Å³ per cell
- Space-group type: F-43m (216)
- Magnetization: 0.1673 μB/atom

Cell lengths 4.563, 4.563, 4.563 Å; angles 60.00, 60.00, 60.00 degrees
Positions (direct):
Au 0.750 0.750 0.750
Ru 0.250 0.250 0.250
Au 0.000 0.000 0.000
Hg 0.500 0.500 0.500

=====

HgRuAu2 after structural relaxation, computed with PBEsol.

Computed properties:
- Energy of formation: 360 meV per atom
- Calculated volume: 67.3 Å³ per cell
- Space-group type: Pmm2 (25)
- Magnetization: 0.3104 μB/atom

Cell lengths 2.906, 3.865, 5.986 Å; angles 90.00, 90.00, 90.00 degrees
Positions (direct):
Hg 0.000 0.000 0.510
Au 0.000 0.000 0.990
Au 0.500 0.500 0.242
Ru 0.500 0.500 0.758

=====

Hg2RuAu after structural relaxation, computed with PBEsol.

Computed properties:
- Energy of formation: 404 meV per atom
- Calculated volume: 70.7 Å³ per cell
- Space-group type: C2/m (12)
- Magnetization: 0.2139 μB/atom

Cell lengths 2.987, 4.852, 5.220 Å; angles 100.38, 90.00, 107.93 degrees
Positions (direct):
Ru 0.000 0.000 0.500
Hg 0.254 0.509 0.258
Au 0.500 0.000 0.000
Hg 0.746 0.491 0.742

=====

Question: Which value of calculated volume does entry 3 give?
Answer: 70.7 Å³ per cell

=====

Question: Among the records above, which one has the lowest magnetization?
Answer: number 1